(1)
The following is a PBE calculation of a relaxed structure of CaTa3Be, from Alexandria via LeMat-Bulk.

Output
E_form: 0.813 eV/atom
Mass density: 10.0 g/cm³
ΔE to the lowest computed polymorph: 0 meV/atom

abc: 4.6107 4.6107 4.6107
angles: 90.00 90.00 90.00
Closest atoms and distances in Å follow each position.
Space group Pm-3m (No. 221)
Asymmetric unit:
Ca 0.0000 0.0000 0.0000  12 Ta 3.26
Ta 0.0000 0.5000 0.5000  2 Be 2.31
Be 0.5000 0.5000 0.5000  6 Ta 2.31



(2)
The following is a PBE calculation of a relaxed structure of CaTaBe2, from Alexandria via LeMat-Bulk.

Output
E_form: 0.396 eV/atom
Mass density: 6.3 g/cm³
ΔE to the lowest computed polymorph: 146 meV/atom

abc: 2.8673 2.8673 7.7114
angles: 90.00 90.00 90.00
Closest atoms and distances in Å follow each position.
Space group P4mm (No. 99)
Asymmetric unit:
Ca 0.0000 0.0000 0.0000  4 Ca 2.87, 4 Be 3.03
Ta 0.5000 0.5000 0.3590  5 Be 2.65-2.69, 4 Ta 2.87
Be 0.0000 0.0000 0.5795  4 Be 2.26
Be 0.5000 0.5000 0.7082  4 Be 2.26



(3)
The following is a PBE calculation of a relaxed structure of CaTa2Be, from Alexandria via LeMat-Bulk.

Output
E_form: 0.766 eV/atom
Mass density: 9.1 g/cm³

abc: 4.0335 4.0335 9.2226
angles: 90.00 90.00 90.00
Closest atoms and distances in Å follow each position.
Space group I4/mmm (No. 139)
Asymmetric unit:
Ca 0.0000 0.0000 0.0000  4 Be 2.85, 8 Ta 3.06
Ta 0.0000 0.5000 0.2500  4 Ta 2.85, 4 Be 3.06, 4 Ca 3.06
Be 0.0000 0.0000 0.5000  4 Ca 2.85, 8 Ta 3.06



(4)
The following is a PBE calculation of a relaxed structure of CaTaBe2, from Alexandria via LeMat-Bulk.

Output
E_form: 0.798 eV/atom
Mass density: 6.0 g/cm³
ΔE to the lowest computed polymorph: 547 meV/atom

abc: 3.7569 3.7569 9.3104
angles: 90.00 90.00 90.00
Closest atoms and distances in Å follow each position.
Space group I-4m2 (No. 119)
Asymmetric unit:
Ca 0.0000 0.0000 0.0000  4 Be 2.66
Ta 0.0000 0.5000 0.7500  4 Be 2.66
Be 0.0000 0.0000 0.5000  4 Ca 2.66
Be 0.0000 0.5000 0.2500  4 Ta 2.66



Let's list VASP energy in order: -7.444, -4.931, -6.592, -4.529 eV/atom.